# 1
This record from Alexandria via LeMat-Bulk describes crystalline YAl2ZnF at its relaxed geometry. The functional is PBE.

Cell: 4.485 4.485 4.678 Å, 90.00 90.00 90.00°
Positions (direct):
Y 0.000 0.000 0.000
Al 0.000 0.500 0.500
Al 0.500 0.000 0.500
Zn 0.500 0.500 0.000
F 0.000 0.000 0.500

Results
DFT total energy (Ha/atom): -0.14842
Mass density (Mg/m³): 4.0
Energy relative to the elements, uncorrected (meV/atom): -620
Space-group type: No. 123



# 2
This record from Alexandria via LeMat-Bulk describes crystalline BaScMo2 at its relaxed geometry. The functional is PBE.

Cell: 3.297 3.297 8.929 Å, 90.00 90.00 90.00°
Positions (direct):
Ba 0.000 0.000 0.000
Sc 0.500 0.500 0.628
Mo 0.000 0.000 0.435
Mo 0.500 0.500 0.292

Results
DFT total energy (Ha/atom): -0.26069
Mass density (Mg/m³): 6.4
ΔE_f (eV/atom): 0.385
Space-group type: No. 99



# 3
This record from Alexandria via LeMat-Bulk describes crystalline PaNb2Cd at its relaxed geometry. The functional is PBE.

Cell: 4.708 4.708 3.673 Å, 90.00 90.00 90.00°
Positions (direct):
Pa 0.000 0.000 0.000
Nb 0.000 0.500 0.500
Nb 0.500 0.000 0.500
Cd 0.500 0.500 0.000

Results
DFT total energy (Ha/atom): -0.27414
Mass density (Mg/m³): 10.8
ΔE_f (eV/atom): 0.178
Space-group type: No. 123



# 4
This record from Alexandria via LeMat-Bulk describes crystalline Pu2RuRh at its relaxed geometry. The functional is PBE.

Cell: 3.349 3.349 7.007 Å, 90.00 90.00 90.00°
Positions (direct):
Pu 0.000 0.000 0.248
Pu 0.000 0.000 0.752
Ru 0.500 0.500 0.000
Rh 0.500 0.500 0.500

Results
DFT total energy (Ha/atom): -0.42657
Mass density (Mg/m³): 14.6
ΔE_f (eV/atom): -0.285
Space-group type: No. 123



# 5
This record from Alexandria via LeMat-Bulk describes crystalline HfBe2Co2 at its relaxed geometry. The functional is PBE.

Cell: 6.466 6.466 2.710 Å, 90.00 90.00 90.00°
Positions (direct):
Hf 0.000 0.000 0.000
Hf 0.500 0.500 0.000
Be 0.115 0.385 0.000
Be 0.385 0.885 0.000
Be 0.615 0.115 0.000
Be 0.885 0.615 0.000
Co 0.173 0.673 0.500
Co 0.327 0.173 0.500
Co 0.673 0.827 0.500
Co 0.827 0.327 0.500

Results
DFT total energy (Ha/atom): -0.24100
Mass density (Mg/m³): 9.2
ΔE_f (eV/atom): -0.234
Space-group type: No. 127



# 6
This record from Alexandria via LeMat-Bulk describes crystalline CrInHg at its relaxed geometry. The functional is PBE.

Cell: 6.536 6.536 6.536 Å, 151.63 151.63 40.55°
Positions (direct):
Cr 0.000 0.000 0.000
In 0.656 0.656 0.000
Hg 0.348 0.348 0.000

Results
DFT total energy (Ha/atom): -0.14221
Mass density (Mg/m³): 9.7
ΔE_f (eV/atom): 0.351
Space-group type: No. 107



# 7
This record from Alexandria via LeMat-Bulk describes crystalline YMnAl2 at its relaxed geometry. The functional is PBE.

Cell: 4.711 4.711 4.711 Å, 60.00 60.00 60.00°
Positions (direct):
Y 0.000 0.000 0.000
Mn 0.750 0.750 0.750
Al 0.250 0.250 0.250
Al 0.500 0.500 0.500

Results
DFT total energy (Ha/atom): -0.21301
Mass density (Mg/m³): 4.4
ΔE_f (eV/atom): -0.017
Space-group type: No. 216



# 8
This record from Alexandria via LeMat-Bulk describes crystalline MnAg2HCl6 at its relaxed geometry. The functional is PBE.

Cell: 7.066 5.829 13.054 Å, 90.00 122.72 90.00°
Positions (direct):
Mn 0.000 0.000 0.000
Mn 0.000 0.500 0.500
Ag 0.316 0.001 0.815
Ag 0.316 0.499 0.315
Ag 0.684 0.501 0.685
Ag 0.684 0.999 0.185
H 0.500 0.000 0.500
H 0.500 0.500 0.000
Cl 0.001 0.212 0.147
Cl 0.001 0.288 0.647
Cl 0.292 0.711 0.647
Cl 0.292 0.789 0.147
Cl 0.370 0.218 0.500
Cl 0.370 0.282 0.000
Cl 0.630 0.718 0.000
Cl 0.630 0.782 0.500
Cl 0.708 0.211 0.853
Cl 0.708 0.289 0.353
Cl 0.999 0.712 0.353
Cl 0.999 0.788 0.853

Results
DFT total energy (Ha/atom): -0.13055
Mass density (Mg/m³): 3.6
Space-group type: No. 14



# 9
This record from Alexandria via LeMat-Bulk describes crystalline NaCa2Mg2 at its relaxed geometry. The functional is PBE.

Cell: 9.731 9.731 3.664 Å, 90.00 90.00 90.00°
Positions (direct):
Na 0.000 0.000 0.000
Na 0.500 0.500 0.000
Ca 0.133 0.367 0.000
Ca 0.367 0.867 0.000
Ca 0.633 0.133 0.000
Ca 0.867 0.633 0.000
Mg 0.161 0.661 0.500
Mg 0.339 0.161 0.500
Mg 0.661 0.839 0.500
Mg 0.839 0.339 0.500

Results
DFT total energy (Ha/atom): -0.05942
Mass density (Mg/m³): 1.5
ΔE_f (eV/atom): 0.085
Space-group type: No. 127



# 10
This record from Alexandria via LeMat-Bulk describes crystalline MgTl12Pb3 at its relaxed geometry. The functional is PBE.

Cell: 5.074 5.074 18.684 Å, 90.00 90.00 90.00°
Positions (direct):
Mg 0.000 0.000 0.000
Tl 0.000 0.500 0.119
Tl 0.000 0.500 0.374
Tl 0.000 0.500 0.626
Tl 0.000 0.500 0.881
Tl 0.500 0.000 0.119
Tl 0.500 0.000 0.374
Tl 0.500 0.000 0.626
Tl 0.500 0.000 0.881
Tl 0.500 0.500 0.000
Tl 0.500 0.500 0.245
Tl 0.500 0.500 0.500
Tl 0.500 0.500 0.755
Pb 0.000 0.000 0.244
Pb 0.000 0.000 0.500
Pb 0.000 0.000 0.756

Results
DFT total energy (Ha/atom): -0.09366
Mass density (Mg/m³): 10.7
ΔE_f (eV/atom): 0.021
Space-group type: No. 123



# 11
This record from Alexandria via LeMat-Bulk describes crystalline Tl2ReHO6 at its relaxed geometry. The functional is PBE.

Cell: 5.818 6.107 6.269 Å, 62.11 72.55 66.28°
Positions (direct):
Tl 0.000 0.000 0.000
Tl 0.401 0.566 0.548
Re 0.059 0.328 0.296
H 0.559 0.016 0.975
O 0.227 0.075 0.541
O 0.236 0.509 0.036
O 0.263 0.018 0.132
O 0.718 0.031 0.853
O 0.794 0.292 0.246
O 0.897 0.572 0.417

Results
DFT total energy (Ha/atom): -0.22606
Mass density (Mg/m³): 6.4
Space-group type: No. 1



# 12
This record from Alexandria via LeMat-Bulk describes crystalline Tb2Ga5Rh at its relaxed geometry. The functional is PBE.

Cell: 6.044 6.044 6.044 Å, 118.59 118.59 92.45°
Positions (direct):
Tb 0.000 0.500 0.500
Tb 0.500 0.000 0.500
Ga 0.499 0.499 0.000
Ga 0.534 0.534 0.572
Ga 0.534 0.962 0.000
Ga 0.962 0.534 0.000
Ga 0.962 0.962 0.428
Rh 0.203 0.203 0.000

Results
DFT total energy (Ha/atom): -0.16569
Mass density (Mg/m³): 8.0
ΔE_f (eV/atom): -0.540
Space-group type: No. 107